(1)
PBE-GGA Er2Lu3Mg3, relaxed; space group = Amm2
1.0
5.468 0.000 0.000
0.000 6.937 0.000
0.000 0.000 11.680
Er Lu Mg
4 6 6
Cartesian
0.000 0.000 0.000 Er
0.000 3.468 5.840 Er
2.734 0.000 3.892 Er
2.734 3.468 9.732 Er
0.000 0.000 5.938 Lu
0.000 3.468 0.098 Lu
2.734 1.726 6.830 Lu
2.734 1.743 0.990 Lu
2.734 5.194 0.990 Lu
2.734 5.211 6.830 Lu
0.000 1.682 2.921 Mg
0.000 1.787 8.761 Mg
0.000 5.150 8.761 Mg
0.000 5.255 2.921 Mg
2.734 0.000 9.748 Mg
2.734 3.468 3.908 Mg


(2)
PBE-GGA BaYAgTe2Se, relaxed; space group = Cmcm
1.0
2.193 -7.560 0.000
2.193 7.560 0.000
0.000 0.000 10.968
Ba Y Ag Te Se
2 2 2 4 2
Cartesian
2.193 3.959 8.226 Ba
2.193 -3.959 2.742 Ba
2.193 0.000 0.000 Y
2.193 0.000 5.484 Y
2.193 7.129 2.742 Ag
2.193 -7.129 8.226 Ag
2.193 5.414 0.549 Te
2.193 5.414 4.935 Te
2.193 -5.414 6.032 Te
2.193 -5.414 10.419 Te
2.193 1.115 2.742 Se
2.193 -1.115 8.226 Se


Calculated density, 7.0; 6.1 Mg/m³ (same order as the records).
Calculated offset from the most stable computed form, 0.0263; 0.0000 eV per atom (same order as the records).